Here is BaNiSe2S after structural relaxation from Alexandria via LeMat-Bulk. Energies are from PBE.

DOS at the Fermi energy (states/eV/cell): 4.9
Uncorrected formation energy (eV/atom): -0.466

CIF file:
```
data_BaNiSe2S
_cell_length_a 4.529
_cell_length_b 4.529
_cell_length_c 6.766
_cell_angle_alpha 90.00
_cell_angle_beta 90.00
_cell_angle_gamma 90.00
_symmetry_space_group_name_H-M 'P 4/m m m'
_symmetry_Int_Tables_number 123
_symmetry_space_group_name_Hall '-P 4 2'
loop_
_atom_site_label
_atom_site_fract_x
_atom_site_fract_y
_atom_site_fract_z
Ba1 0.000 0.000 0.000
Ni1 0.000 0.000 0.500
Se1 0.000 0.500 0.500
S1 0.500 0.500 0.000
```